HfFeIO2 (GGA+U, optimized geometry); distance to the lowest polymorph of the same formula = 1280.5 meV per atom; calculated total energy = -5.511 eV per atom; crystal system = tetragonal; spin magnetization = 0.746 μB/atom; DOS at the Fermi energy = 3.326 states/eV/f.u.; SG = P4/mmm
1.0
4.020 0.000 0.000
0.000 4.020 0.000
0.000 0.000 5.254
O Fe I Hf
2 1 1 1
Cartesian
0.000 2.010 0.000
2.010 0.000 0.000
0.000 0.000 0.000
0.000 0.000 2.627
2.010 2.010 2.627